This record from Alexandria describes crystalline TbGaF at its relaxed geometry. The functional is PBE.

## Properties
* polymorph energy (0 for the lowest one): 0.279 eV/atom
* energy relative to the elements, uncorrected: -4.5 eV per formula unit
* space group: I4mm

Cell lengths 3.268, 3.268, 6.087 Å; angles 105.57, 105.57, 90.00 degrees
Atoms (fractional coordinates):
F1 0.274 0.274 0.547
Tb1 0.720 0.720 0.439
Ga1 0.007 0.007 0.013


This record from Alexandria describes crystalline Hf2ReSBr at its relaxed geometry. The functional is PBE.

## Properties
* energy relative to the elements, uncorrected: 1.9 eV per formula unit
* space group: P4/mmm

Cell lengths 4.928, 4.271, 4.928 Å; angles 90.00, 90.00, 90.00 degrees
Atoms (fractional coordinates):
Hf1 0.000 0.000 0.500
Hf2 0.500 0.000 0.000
S1 0.000 0.000 0.000
Re1 0.000 0.500 0.000
Br1 0.500 0.500 0.500


This record from Alexandria describes crystalline AlAs2P at its relaxed geometry. The functional is PBE.

## Properties
* polymorph energy (0 for the lowest one): 0.190 eV/atom
* ΔH_f (0 K): 112 meV/atom
* space group: I-42d

Cell lengths 5.483, 5.483, 7.409 Å; angles 68.28, 68.28, 90.00 degrees
Atoms (fractional coordinates):
Al1 0.500 0.500 0.000
Al2 0.250 0.750 0.500
As1 0.875 0.880 0.750
As2 0.120 0.625 0.250
As3 0.630 0.125 0.250
As4 0.375 0.370 0.750
P1 0.000 0.000 0.000
P2 0.750 0.250 0.500


In order of appearance, total magnetization = 0.011, 0.000, 0.000 μB/f.u..